P:
Computed, not measured: a relaxed structure of PrEr2Tm2 at the PBE level of DFT.

Summary:
Magnetic moment = 0.0 μB/f.u.

Cell: 9.3835 9.3835 3.6525 Å, 90.00 90.00 90.00°
Closest atoms and distances in Å follow each position.
Space group P4/mbm (No. 127)
Unique sites:
Pr: 0.0000 0.0000 0.0000 [2 per cell]  2 Pr 3.65, 4 Tm 3.72, 8 Er 3.92
Er: 0.1727 0.3273 0.5000 [4 per cell]  6 Tm 3.27-3.36, 2 Er 3.65
Tm: 0.1232 0.6232 0.0000 [4 per cell]  6 Er 3.27-3.36, 3 Tm 3.27-3.65

***

Q:
Computed, not measured: a relaxed structure of PrEr2Tm2 at the PBE level of DFT.

Summary:
Magnetic moment = 0.0 μB/f.u.

Cell: 3.4886 5.6762 16.3039 Å, 90.00 90.00 90.00°
Closest atoms and distances in Å follow each position.
Space group Amm2 (No. 38)
Unique sites:
Pr: 0.0000 0.0000 0.0000 [2 per cell]  6 Er 3.43-3.54, 2 Pr 3.49, 2 Tm 3.61
Er: 0.0000 0.0000 0.3814 [2 per cell]  2 Pr 3.43, 4 Tm 3.44-3.53, 4 Er 3.49-3.59
Er: 0.5000 0.0000 0.5742 [2 per cell]  4 Tm 3.44-3.52, 4 Er 3.49-3.59, 4 Pr 3.54
Tm: 0.0000 0.0000 0.7617 [2 per cell]  4 Er 3.44-3.52, 6 Tm 3.49-3.51
Tm: 0.5000 0.0000 0.1935 [2 per cell]  4 Er 3.44-3.53, 6 Tm 3.49-3.51, 2 Pr 3.61

***

Quick look at relative energies in meV/atom: P 0; Q 38.

***

P:
Computed, not measured: a relaxed structure of Pr7ErTm12 at the PBE level of DFT.

Summary:
Magnetic moment = 0.0 μB/f.u.

Cell: 11.9307 11.9307 16.2263 Å, 90.00 90.00 120.00°
Closest atoms and distances in Å follow each position.
Space group R-3 (No. 148, hexagonal axes)
Unique sites:
Pr: 0.0000 0.0000 0.0000 [3 per cell]  6 Tm 3.27
Pr: 0.0551 0.1860 0.2877 [18 per cell]  3 Pr 3.42-3.50, 6 Tm 3.46-3.82
Er: 0.0000 0.0000 0.5000 [3 per cell]  6 Tm 3.38
Tm: 0.0268 0.4490 0.2211 [18 per cell]  4 Tm 3.28-3.59, 1 Er 3.38, 2 Pr 3.49-3.58
Tm: 0.0531 0.5857 0.5832 [18 per cell]  5 Tm 3.24-3.59, 2 Pr 3.27-3.46

***

Q:
Computed, not measured: a relaxed structure of Pr7ErTm12 at the PBE level of DFT.

Summary:
Magnetic moment = 0.0 μB/f.u.

Cell: 11.2459 11.2459 11.2459 Å, 90.00 90.00 90.00°
Closest atoms and distances in Å follow each position.
Space group Im-3m (No. 229)
Unique sites:
Pr: 0.0000 0.0000 0.5000 [6 per cell]  12 Tm 3.98-4.06
Pr: 0.2500 0.2500 0.2500 [8 per cell]  6 Tm 2.81
Er: 0.0000 0.0000 0.0000 [2 per cell]  12 Tm 3.89
Tm: 0.0000 0.2446 0.2446 [24 per cell]  2 Pr 2.81

***

Quick look at relative energies in meV/atom: P 0; Q 430.

***

P:
Computed, not measured: a relaxed structure of PrEr2Tm7 at the PBE level of DFT.

Summary:
Magnetic moment = 0.0 μB/f.u.

Cell: 8.7863 16.4953 5.3664 Å, 90.00 127.59 90.00°
Closest atoms and distances in Å follow each position.
Space group C2/m (No. 12)
Unique sites:
Pr: 0.0000 0.0000 0.0000 [2 per cell]  12 Tm 3.32-3.69
Er: 0.0000 0.3006 0.5000 [4 per cell]  9 Tm 3.15-3.51
Tm: 0.0000 0.2011 0.0000 [4 per cell]  4 Er 3.15-3.48, 1 Pr 3.32
Tm: 0.0000 0.5000 0.5000 [2 per cell]  2 Er 3.29, 2 Pr 3.48, 8 Tm 3.67-3.68
Tm: 0.2476 0.3893 0.2476 [8 per cell]  8 Tm 3.45-3.68, 3 Er 3.51-3.59, 2 Pr 3.69

***

Q:
Computed, not measured: a relaxed structure of PrEr2Tm7 at the PBE level of DFT.

Summary:
Magnetic moment = 0.0 μB/f.u.

Cell: 8.6650 15.9783 5.5546 Å, 90.00 90.00 90.00°
Closest atoms and distances in Å follow each position.
Space group Cmmm (No. 65)
Unique sites:
Pr: 0.0000 0.0000 0.0000 [2 per cell]  10 Tm 3.44-3.67
Er: 0.0000 0.2971 0.5000 [4 per cell]  7 Tm 3.07-3.28
Tm: 0.0000 0.2152 0.0000 [4 per cell]  2 Er 3.07, 1 Pr 3.44
Tm: 0.0000 0.5000 0.5000 [2 per cell]  2 Er 3.24, 4 Tm 3.36
Tm: 0.1764 0.1158 0.5000 [8 per cell]  2 Tm 3.06-3.36, 2 Er 3.13-3.28

***

Quick look at relative energies in meV/atom: P 0; Q 669.